A geometry-optimized Ac2H7Rh2 structure. Source: Alexandria, functional PBE.

POSCAR file:
```
Ac2H7Rh2
1.0
3.6476 0.1365 0.1970
-0.2308 6.0024 0.1085
-0.2308 -2.0063 5.6582
Rh Ac H
2 2 7
direct
0.9998 0.2786 0.2786
0.0002 0.7214 0.7214
0.5000 0.2253 0.7747
0.5000 0.7747 0.2253
0.9997 0.1010 0.4426
0.0000 0.0000 0.0000
0.0003 0.8990 0.5574
0.7564 0.5000 0.5000
0.0003 0.5574 0.8990
0.9997 0.4426 0.1010
0.2436 0.5000 0.5000
```

Values from the calculation:
VASP energy = -50.039 eV per cell